Here is InBr after structural relaxation from Alexandria via LeMat-Bulk. Energies are from GGA-PBE.

It has space group I-43m (No. 217), with a = 9.741 Å, b = 9.741 Å, c = 9.741 Å, α = 90.00°, β = 90.00° and γ = 90.00°. Symmetry generates all atoms from In at (0.132, 0.132, 0.868) and Br at (0.199, 0.199, 0.199).

The value obtained for the raw formation energy is -0.5351 eV per atom.